*a*
Below is Mg2InTe2 after structural relaxation, with properties calculated at the PBE level.

```
Mg2InTe2
1.0
8.2282 0.0000 0.0000
0.0000 8.2282 0.0000
0.0000 0.0000 3.9227
Te Mg In
4 4 2
direct
0.1662 0.6662 0.5000
0.8338 0.3338 0.5000
0.3338 0.1662 0.5000
0.6662 0.8338 0.5000
0.8654 0.6346 0.0000
0.1346 0.3654 0.0000
0.3654 0.8654 0.0000
0.6346 0.1346 0.0000
0.5000 0.5000 0.0000
0.0000 0.0000 0.0000
```

Results
D(E_F): 0.2976 states/eV per atom
crystal system: tetragonal

=====

*b*
Below is Mg2InTe2 after structural relaxation, with properties calculated at the PBE level.

```
Mg2InTe2
1.0
-0.9638 -3.4474 -2.9249
2.9058 -2.7634 2.2996
-4.5363 -5.2666 4.0495
Te In Mg
2 1 2
direct
0.6338 0.6338 0.7324
0.3662 0.3662 0.2676
0.0000 0.0000 0.0000
0.7500 0.2500 0.5000
0.2500 0.7500 0.5000
```

Results
D(E_F): 0.6118 states/eV per atom
crystal system: tetragonal

=====

Winner for stability: *b*

=====

*a*
Below is MgInTe after structural relaxation, with properties calculated at the PBE level.

```
MgInTe
1.0
5.0800 0.0000 0.0000
2.5400 4.3994 0.0000
2.5400 1.4665 4.1478
Mg In Te
1 1 1
direct
0.7500 0.7500 0.7500
0.5000 0.5000 0.5000
0.0000 0.0000 0.0000
```

Results
D(E_F): 0.7726 states/eV per atom
crystal system: cubic

=====

*b*
Below is MgInTe after structural relaxation, with properties calculated at the PBE level.

```
MgInTe
1.0
-0.9854 2.4957 -3.4826
-0.8809 -4.3067 -0.0621
-20.1933 4.0063 8.5847
Te Mg In
4 4 4
direct
0.3333 0.6667 0.4409
0.6667 0.3333 0.5591
0.3333 0.6667 0.2552
0.6667 0.3333 0.7448
0.6667 0.3333 0.0403
0.3333 0.6667 0.9597
0.6667 0.3333 0.1969
0.3333 0.6667 0.8031
0.6667 0.3333 0.3725
0.3333 0.6667 0.6275
0.3333 0.6667 0.1097
0.6667 0.3333 0.8903
```

Results
D(E_F): 0.0812 states/eV per atom
crystal system: trigonal

=====

Winner for stability: *a*

=====

*a*
Below is ThMg2In after structural relaxation, with properties calculated at the PBE level.

```
ThMg2In
1.0
3.3078 0.0000 0.0000
1.6539 2.8646 0.0000
1.6539 0.9549 11.5086
In Mg Th
1 2 1
direct
0.5000 0.5000 0.5000
0.9049 0.9049 0.2854
0.0951 0.0951 0.7146
0.0000 0.0000 0.0000
```

Results
D(E_F): 0.7513 states/eV per atom
crystal system: trigonal

=====

*b*
Below is ThMg2In after structural relaxation, with properties calculated at the PBE level.

```
ThMg2In
1.0
-2.7717 -0.1822 -2.1843
-2.1309 -0.6006 2.7541
-1.1981 8.1169 0.8432
Mg In Th
2 1 1
direct
0.0000 0.0000 0.7840
0.0000 0.0000 0.2160
0.5000 0.5000 0.0000
0.5000 0.5000 0.5000
```

Results
D(E_F): 0.6828 states/eV per atom
crystal system: tetragonal

=====

Winner for stability: *b*

=====

*a*
Below is ThMg2In after structural relaxation, with properties calculated at the PBE level.

```
ThMg2In
1.0
-2.7768 1.9834 3.8644
-1.1262 -3.0343 0.7481
4.9608 -0.2894 3.7132
Th Mg In
1 2 1
direct
0.5000 0.5000 0.0000
0.0000 0.9169 0.7496
0.0000 0.0831 0.2504
0.5000 0.0000 0.5000
```

Results
D(E_F): 0.7344 states/eV per atom
crystal system: monoclinic

=====

*b*
Below is ThMg2In after structural relaxation, with properties calculated at the PBE level.

```
ThMg2In
1.0
4.5215 0.0000 -1.0650
0.0000 10.1240 0.0000
-0.2048 0.0000 9.2613
Mg Th In
8 4 4
direct
0.8850 0.2500 0.7699
0.3006 0.3992 0.6012
0.6994 0.6008 0.3988
0.3006 0.1008 0.6012
0.9598 0.7500 0.9196
0.1150 0.7500 0.2301
0.6994 0.8992 0.3988
0.0402 0.2500 0.0804
0.6855 0.2500 0.3710
0.5000 0.5000 0.0000
0.5000 0.0000 0.0000
0.3145 0.7500 0.6290
0.1376 0.0299 0.2753
0.8624 0.9701 0.7247
0.1376 0.4701 0.2753
0.8624 0.5299 0.7247
```

Results
D(E_F): 0.5718 states/eV per atom
crystal system: orthorhombic

=====

Winner for stability: *b*

=====

*a*
Below is ThMg4In2 after structural relaxation, with properties calculated at the PBE level.

```
ThMg4In2
1.0
3.8160 0.0000 -0.9566
-0.2398 3.8085 -0.9566
0.9665 1.0292 11.9454
Mg Th In
4 1 2
direct
0.1465 0.1464 0.2929
0.8535 0.8536 0.7071
0.2500 0.7500 0.5000
0.7500 0.2500 0.5000
0.0000 0.0000 0.0000
0.4123 0.4123 0.8247
0.5877 0.5877 0.1753
```

Results
D(E_F): 0.5936 states/eV per atom
crystal system: tetragonal

=====

*b*
Below is ThMg4In2 after structural relaxation, with properties calculated at the PBE level.

```
ThMg4In2
1.0
4.9004 0.0000 0.0000
2.4502 4.2439 0.0000
2.4502 1.4146 8.2894
Th Mg In
1 4 2
direct
0.0000 0.0000 0.0000
0.8599 0.8599 0.4202
0.1401 0.1401 0.5798
0.4282 0.4282 0.7153
0.5718 0.5718 0.2847
0.2630 0.2630 0.2110
0.7370 0.7370 0.7890
```

Results
D(E_F): 0.4647 states/eV per atom
crystal system: trigonal

=====

Winner for stability: *b*

=====

*a*
Below is ThMg2In2 after structural relaxation, with properties calculated at the PBE level.

```
ThMg2In2
1.0
-1.3990 -6.1762 -2.3269
4.4578 -0.1957 -2.1606
-0.5744 -1.6216 4.6496
Mg Th In
2 1 2
direct
0.3262 0.6667 0.3333
0.6738 0.3333 0.6667
0.0000 0.0000 0.0000
0.7773 0.6667 0.3333
0.2227 0.3333 0.6667
```

Results
D(E_F): 1.0737 states/eV per atom
crystal system: trigonal

=====

*b*
Below is ThMg2In2 after structural relaxation, with properties calculated at the PBE level.

```
ThMg2In2
1.0
-1.5646 2.3035 3.9844
-2.6524 -2.4834 3.2290
4.0792 -1.7228 5.0430
In Mg Th
2 2 1
direct
0.4054 0.9054 0.7452
0.5946 0.0946 0.2547
0.7838 0.2838 0.6195
0.2162 0.7162 0.3805
0.0000 0.5000 0.0000
```

Results
D(E_F): 0.3899 states/eV per atom
crystal system: monoclinic

=====

Winner for stability: *b*

=====

*a*
Below is ThMgTlIn after structural relaxation, with properties calculated at the PBE level.

```
ThMgTlIn
1.0
4.6056 0.0000 0.0000
0.0000 4.8341 0.0000
0.0000 0.0000 4.8058
In Th Tl Mg
1 1 1 1
direct
0.0000 0.5000 0.5000
0.5000 0.5000 0.0000
0.0000 0.0000 0.0000
0.5000 0.0000 0.5000
```

Results
D(E_F): 0.5127 states/eV per atom
crystal system: orthorhombic

=====

*b*
Below is ThMgTlIn after structural relaxation, with properties calculated at the PBE level.

```
ThMgTlIn
1.0
-0.4547 -3.0719 4.3281
4.3670 -1.6517 2.5645
1.1751 1.9771 4.8048
Th Mg In Tl
1 1 1 1
direct
0.2500 0.2500 0.2500
0.7500 0.7500 0.7500
0.5000 0.5000 0.5000
0.0000 0.0000 0.0000
```

Results
D(E_F): 0.8676 states/eV per atom
crystal system: cubic

=====

Winner for stability: *a*

=====

*a*
Below is Mg7TlIn2 after structural relaxation, with properties calculated at the PBE level.

```
Mg7TlIn2
1.0
-2.0002 -1.8863 3.9389
-1.1118 -3.9698 -2.4656
11.0829 -1.4444 2.0074
Mg In Tl
7 2 1
direct
0.5940 0.0940 0.1880
0.5000 0.5000 0.0000
0.9060 0.4060 0.8120
0.7500 0.2500 0.5000
0.0940 0.5940 0.1880
0.2500 0.7500 0.5000
0.4060 0.9060 0.8120
0.6704 0.6704 0.3407
0.3296 0.3296 0.6593
0.0000 0.0000 0.0000
```

Results
D(E_F): 0.3547 states/eV per atom
crystal system: tetragonal

=====

*b*
Below is Mg7TlIn2 after structural relaxation, with properties calculated at the PBE level.

```
Mg7TlIn2
1.0
5.0128 0.0000 0.0000
0.0000 8.1874 -0.1004
0.0000 -3.7834 7.2615
In Mg Tl
2 7 1
direct
0.5000 0.6998 0.3002
0.5000 0.3002 0.6998
0.0000 0.2115 0.7885
0.0000 0.7885 0.2115
0.5000 0.2969 0.0702
0.5000 0.0702 0.2969
0.5000 0.9298 0.7031
0.5000 0.5000 0.5000
0.5000 0.7031 0.9298
0.0000 0.0000 0.0000
```

Results
D(E_F): 0.5507 states/eV per atom
crystal system: orthorhombic

=====

Winner for stability: *a*